{"formula": "KMn2OsO8", "functional": "PBE+U", "state": "optimized geometry", "spacegroup": "P-1 (2)", "e_tot_ev_per_cell": -80.09, "crystal_system": "triclinic", "volume_a3_per_atom": 14.00, "n_ef_per_ev_cell": 3.7, "lattice": [[5.0570, 0.0000, 0.0000], [1.5475, 4.8849, 0.0000], [1.8350, 1.6699, 6.7990]], "species": ["K", "Mn", "Mn", "Os", "O", "O", "O", "O", "O", "O", "O", "O"], "frac_coords": [[0.0000, 0.0000, 0.0000], [0.4544, 0.4518, 0.2123], [0.5456, 0.5482, 0.7877], [0.0000, 0.0000, 0.5000], [0.1851, 0.7473, 0.7036], [0.2202, 0.7784, 0.3275], [0.2666, 0.2111, 0.4320], [0.4041, 0.3043, 0.0181], [0.5959, 0.6957, 0.9819], [0.7334, 0.7889, 0.5680], [0.7798, 0.2216, 0.6725], [0.8149, 0.2527, 0.2964]]}